Here is a relaxed PaAg5Te6 crystal from the Alexandria database. Energies are from PBE-GGA.

abc: 7.250 7.706 7.254
angles: 57.92 80.50 71.90
Atoms (fractional coordinates):
Pa  0.000  0.000  0.000
Ag  0.500  0.126  0.747
Ag  0.000  0.315  0.371
Ag  0.500  0.500  0.000
Ag  0.000  0.685  0.629
Ag  0.500  0.874  0.253
Te  0.727  0.067  0.333
Te  0.273  0.601  0.333
Te  0.209  0.294  0.000
Te  0.791  0.706  0.000
Te  0.727  0.399  0.667
Te  0.273  0.933  0.667

SG: No. 12
Magnetic moment in Bohr magnetons per cell: 0.000
Total DFT energy (no corrections) in eV/atom: -3.778
Formation energy (no corrections) in kcal/mol of atoms: -5.25


Here is a relaxed Pa3Ag5Te12 crystal from the Alexandria database. Energies are from PBE-GGA.

abc: 14.879 14.879 14.879
angles: 109.47 109.47 109.47
Atoms (fractional coordinates):
Pa  0.750  0.375  0.125
Pa  0.875  0.750  0.125
Pa  0.375  0.750  0.625
Pa  0.250  0.125  0.375
Pa  0.875  0.125  0.250
Pa  0.375  0.625  0.250
Pa  0.625  0.375  0.750
Pa  0.125  0.875  0.750
Pa  0.750  0.875  0.625
Pa  0.625  0.250  0.375
Pa  0.125  0.250  0.875
Pa  0.250  0.625  0.875
Ag  0.125  0.375  0.250
Ag  0.000  0.500  0.000
Ag  0.000  0.000  0.000
Ag  0.375  0.250  0.125
Ag  0.500  0.000  0.500
Ag  0.500  0.500  0.000
Ag  0.125  0.750  0.375
Ag  0.750  0.125  0.875
Ag  0.750  0.625  0.375
Ag  0.375  0.125  0.750
Ag  0.625  0.875  0.250
Ag  0.500  0.500  0.500
Ag  0.500  0.000  0.000
Ag  0.000  0.000  0.500
Ag  0.250  0.375  0.625
Ag  0.250  0.875  0.125
Ag  0.000  0.500  0.500
Ag  0.875  0.250  0.625
Ag  0.625  0.750  0.875
Ag  0.875  0.625  0.750
Te  0.723  0.134  0.051
Te  0.328  0.551  0.416
Te  0.949  0.366  0.277
Te  0.551  0.223  0.134
Te  0.589  0.723  0.672
Te  0.949  0.584  0.172
Te  0.328  0.777  0.411
Te  0.084  0.911  0.134
Te  0.584  0.949  0.672
Te  0.723  0.589  0.172
Te  0.777  0.449  0.366
Te  0.828  0.916  0.051
Te  0.134  0.723  0.551
Te  0.366  0.416  0.089
Te  0.089  0.916  0.366
Te  0.411  0.134  0.584
Te  0.089  0.172  0.223
Te  0.449  0.672  0.084
Te  0.828  0.911  0.277
Te  0.134  0.411  0.084
Te  0.366  0.949  0.777
Te  0.584  0.634  0.411
Te  0.916  0.828  0.551
Te  0.777  0.328  0.911
Te  0.416  0.366  0.589
Te  0.084  0.172  0.449
Te  0.223  0.672  0.089
Te  0.172  0.089  0.723
Te  0.634  0.051  0.223
Te  0.866  0.589  0.916
Te  0.551  0.328  0.916
Te  0.589  0.866  0.416
Te  0.911  0.828  0.777
Te  0.911  0.084  0.634
Te  0.866  0.277  0.449
Te  0.172  0.084  0.949
Te  0.634  0.584  0.911
Te  0.416  0.051  0.328
Te  0.277  0.411  0.828
Te  0.223  0.551  0.634
Te  0.916  0.089  0.866
Te  0.672  0.223  0.589
Te  0.449  0.777  0.866
Te  0.051  0.416  0.828
Te  0.411  0.277  0.328
Te  0.051  0.634  0.723
Te  0.672  0.449  0.584
Te  0.277  0.866  0.949

SG: No. 230
Magnetic moment in Bohr magnetons per cell: 0.000
Total DFT energy (no corrections) in eV/atom: -4.377
Formation energy (no corrections) in kcal/mol of atoms: -8.19